! NaAgSnSe3 (PBE, optimized geometry); values from VASP
! crystal system	orthorhombic
! E_tot	-3.525	eV/atom
! calculated volume	24.33	A^3/atom
! symmetry	Cmcm
&SYSTEM
  ibrav = 0, nat = 12, ntyp = 4
/
ATOMIC_SPECIES
Ag 107.87 Ag.upf
Na 22.99 Na.upf
Se 78.96 Se.upf
Sn 118.71 Sn.upf
ATOMIC_POSITIONS crystal
Ag 0.0000 0.4122 0.4122
Ag 0.5000 0.5878 0.5878
Na 0.5000 0.2790 0.2790
Na 0.0000 0.7210 0.7210
Se 0.0000 0.0563 0.0563
Se 0.2235 0.3552 0.3552
Se 0.7765 0.3552 0.3552
Se 0.2765 0.6448 0.6448
Se 0.7235 0.6448 0.6448
Se 0.5000 0.9437 0.9437
Sn 0.2500 0.0000 0.0000
Sn 0.7500 0.0000 0.0000
CELL_PARAMETERS angstrom
11.0381 0.0000 0.0000
0.0000 1.9858 6.6587
0.0000 -1.9858 6.6587

! NaAgSnSe3 (PBE, optimized geometry); values from VASP
! crystal system	monoclinic
! E_tot	-3.543	eV/atom
! calculated volume	24.68	A^3/atom
! symmetry	C2/m
&SYSTEM
  ibrav = 0, nat = 12, ntyp = 4
/
ATOMIC_SPECIES
Ag 107.87 Ag.upf
Na 22.99 Na.upf
Se 78.96 Se.upf
Sn 118.71 Sn.upf
ATOMIC_POSITIONS crystal
Ag 0.4879 0.4879 0.2795
Ag 0.5121 0.5121 0.7205
Na 0.1313 0.1313 0.0597
Na 0.8687 0.8687 0.9403
Se 0.5000 0.5000 0.0000
Se 0.3174 0.3174 0.1948
Se 0.6640 0.6640 0.3606
Se 0.0000 0.0000 0.5000
Se 0.3360 0.3360 0.6394
Se 0.6826 0.6826 0.8052
Sn 0.8261 0.8261 0.4108
Sn 0.1739 0.1739 0.5892
CELL_PARAMETERS angstrom
8.7165 -1.9403 0.0000
8.7165 1.9403 0.0000
-2.4383 0.0000 8.7563

! NaAgSnSe3 (PBE, optimized geometry); values from VASP
! crystal system	orthorhombic
! E_tot	-3.580	eV/atom
! calculated volume	25.08	A^3/atom
! symmetry	Pnma
&SYSTEM
  ibrav = 0, nat = 24, ntyp = 4
/
ATOMIC_SPECIES
Ag 107.87 Ag.upf
Na 22.99 Na.upf
Se 78.96 Se.upf
Sn 118.71 Sn.upf
ATOMIC_POSITIONS crystal
Ag 0.7775 0.2500 0.2263
Ag 0.2775 0.2500 0.2737
Ag 0.7225 0.7500 0.7263
Ag 0.2225 0.7500 0.7737
Na 0.1314 0.2500 0.0008
Na 0.6314 0.2500 0.4992
Na 0.3686 0.7500 0.5008
Na 0.8686 0.7500 0.9992
Se 0.6147 0.2500 0.0117
Se 0.9563 0.2500 0.1835
Se 0.1832 0.7500 0.1924
Se 0.6832 0.7500 0.3076
Se 0.4563 0.2500 0.3165
Se 0.1147 0.2500 0.4883
Se 0.8853 0.7500 0.5117
Se 0.5437 0.7500 0.6835
Se 0.3168 0.2500 0.6924
Se 0.8168 0.2500 0.8076
Se 0.0437 0.7500 0.8165
Se 0.3853 0.7500 0.9883
Sn 0.5296 0.7500 0.1609
Sn 0.0296 0.7500 0.3391
Sn 0.9704 0.2500 0.6609
Sn 0.4704 0.2500 0.8391
CELL_PARAMETERS angstrom
14.0606 0.0000 0.0000
0.0000 4.1431 0.0000
0.0000 0.0000 10.3327

! NaAgSnTeSe2 (PBE, optimized geometry); values from VASP
! crystal system	orthorhombic
! E_tot	-3.406	eV/atom
! calculated volume	26.45	A^3/atom
! symmetry	Cmcm
&SYSTEM
  ibrav = 0, nat = 12, ntyp = 5
/
ATOMIC_SPECIES
Ag 107.87 Ag.upf
Na 22.99 Na.upf
Se 78.96 Se.upf
Sn 118.71 Sn.upf
Te 127.60 Te.upf
ATOMIC_POSITIONS crystal
Ag 0.0658 0.9342 0.2500
Ag 0.9342 0.0658 0.7500
Na 0.7367 0.2633 0.2500
Na 0.2633 0.7367 0.7500
Se 0.1371 0.8629 0.0436
Se 0.1371 0.8629 0.4564
Se 0.8629 0.1371 0.5436
Se 0.8629 0.1371 0.9564
Sn 0.5000 0.5000 0.0000
Sn 0.5000 0.5000 0.5000
Te 0.4182 0.5818 0.2500
Te 0.5818 0.4182 0.7500
CELL_PARAMETERS angstrom
-4.0215 -3.8349 -4.8841
2.9925 0.6114 6.7383
-9.5531 5.2176 3.7692

Q: What is the E_tot in the first record?
A: -3.525 eV/atom